Record 1
A relaxed La2Cd6InAg crystal, computed with PBE.

a = 7.0995 Å, b = 7.0995 Å, c = 37.2209 Å
α = 90.00°, β = 90.00°, γ = 120.00°
Space group R-3m (No. 166, hexagonal axes)
Inequivalent atoms, fractional coordinates:
La 0.0000 0.0000 0.1092 (multiplicity 6)
La 0.0000 0.0000 0.2804 (multiplicity 6)
Cd 0.0541 0.5271 0.3029 (multiplicity 18)
Cd 0.0665 0.5333 0.8656 (multiplicity 18)
In 0.0000 0.0000 0.4253 (multiplicity 6)
Ag 0.0000 0.0000 0.0000 (multiplicity 3)
Ag 0.0000 0.0000 0.5000 (multiplicity 3)

**ΔE_f**: -0.113 eV/atom
**Total magnetic moment**: 0.0 μB/f.u.
**Raw total energy**: -2.21 eV per atom


Record 2
A relaxed PmHoGaCo crystal, computed with PBE.

a = 7.047 Å, b = 7.047 Å, c = 7.047 Å
α = 90.00°, β = 90.00°, γ = 90.00°
Space group F-43m (No. 216)
Inequivalent atoms, fractional coordinates:
Pm 0.000 0.000 0.000 (multiplicity 4)
Ho 0.000 0.000 0.500 (multiplicity 4)
Ga 0.250 0.250 0.250 (multiplicity 4)
Co 0.250 0.250 0.750 (multiplicity 4)

**ΔE_f**: -0.274 eV/atom
**Total magnetic moment**: 1.1 μB/f.u.
**Raw total energy**: -5.14 eV per atom


Record 3
A relaxed NbAlIn crystal, computed with PBE.

a = 4.8316 Å, b = 4.8316 Å, c = 18.9888 Å
α = 90.00°, β = 90.00°, γ = 120.00°
Space group R-3m (No. 166, hexagonal axes)
Inequivalent atoms, fractional coordinates:
Nb 0.0000 0.0000 0.0688 (multiplicity 6)
Al 0.0000 0.0000 0.2109 (multiplicity 6)
In 0.0000 0.0000 0.3697 (multiplicity 6)

**ΔE_f**: 0.364 eV/atom
**Total magnetic moment**: 0.0 μB/f.u.
**Raw total energy**: -5.15 eV per atom


Record 4
A relaxed Nd6TlSi2 crystal, computed with PBE.

a = 9.852 Å, b = 10.153 Å, c = 10.605 Å
α = 90.00°, β = 90.00°, γ = 90.00°
Space group Immm (No. 71)
Inequivalent atoms, fractional coordinates:
Nd 0.000 0.206 0.240 (multiplicity 8)
Nd 0.205 0.500 0.180 (multiplicity 8)
Nd 0.223 0.315 0.500 (multiplicity 8)
Tl 0.000 0.000 0.000 (multiplicity 2)
Tl 0.000 0.000 0.500 (multiplicity 2)
Si 0.000 0.375 0.000 (multiplicity 4)
Si 0.000 0.500 0.388 (multiplicity 4)

**Total magnetic moment**: 0.0 μB/f.u.
**Raw total energy**: -5.11 eV per atom


Record 5
A relaxed SmSc5Sn6 crystal, computed with PBE.

a = 5.881 Å, b = 14.640 Å, c = 7.146 Å
α = 90.00°, β = 104.45°, γ = 90.00°
Space group C2/m (No. 12)
Inequivalent atoms, fractional coordinates:
Sm 0.000 0.000 0.000 (multiplicity 2)
Sc 0.000 0.000 0.500 (multiplicity 2)
Sc 0.000 0.325 0.000 (multiplicity 4)
Sc 0.000 0.348 0.500 (multiplicity 4)
Sn 0.009 0.173 0.729 (multiplicity 8)
Sn 0.026 0.500 0.233 (multiplicity 4)

**ΔE_f**: -0.552 eV/atom
**Total magnetic moment**: 0.0 μB/f.u.
**Raw total energy**: -5.58 eV per atom


Record 6
A relaxed BiIr2S crystal, computed with PBE.

a = 6.551 Å, b = 6.551 Å, c = 6.551 Å
α = 90.00°, β = 90.00°, γ = 90.00°
Space group Fm-3m (No. 225)
Inequivalent atoms, fractional coordinates:
Bi 0.000 0.000 0.000 (multiplicity 4)
Ir 0.250 0.250 0.250 (multiplicity 8)
S 0.000 0.000 0.500 (multiplicity 4)

**Total magnetic moment**: 0.5 μB/f.u.
**Raw total energy**: -5.71 eV per atom


Q: Which formula does entry 2 have?
A: PmHoGaCo


What did the second record say?
A relaxed PmHoGaCo crystal, computed with PBE.

a = 7.047 Å, b = 7.047 Å, c = 7.047 Å
α = 90.00°, β = 90.00°, γ = 90.00°
Space group F-43m (No. 216)
Inequivalent atoms, fractional coordinates:
Pm 0.000 0.000 0.000 (multiplicity 4)
Ho 0.000 0.000 0.500 (multiplicity 4)
Ga 0.250 0.250 0.250 (multiplicity 4)
Co 0.250 0.250 0.750 (multiplicity 4)

**ΔE_f**: -0.274 eV/atom
**Total magnetic moment**: 1.1 μB/f.u.
**Raw total energy**: -5.14 eV per atom